VASP calculation (PBE) on a relaxed structure of Tb2Pm8Sc.

Structure (POSCAR):
```
Tb2Pm8Sc
1.0
-4.7407 0.0075 1.8703
1.8313 -6.2958 4.6671
4.3675 7.3953 4.0972
Tb Pm Sc
2 8 1
direct
0.2260 0.6347 0.4521
0.7740 0.3653 0.5479
0.5902 0.4481 0.1804
0.3195 0.0897 0.6390
0.1353 0.1803 0.2707
0.0453 0.7309 0.0905
0.8647 0.8197 0.7293
0.6805 0.9103 0.3610
0.4098 0.5519 0.8196
0.9547 0.2691 0.9095
0.5000 0.0000 0.0000
```

Values from the calculation:
density	6.971	g/cm3
total magnetic moment	0.000	μB/atom
SG	No. 12
VASP energy	-4.85	eV per atom
calculated formation energy	26	meV per atom